1.
Compound: Cu12Pd7Au2
Source: Alexandria via LeMat-Bulk
Functional: PBE
Structure: relaxed

Structure (POSCAR):
```
Cu12Pd7Au2
1.0
-2.1108 -0.9147 1.3969
6.9645 -5.6325 6.8355
-2.9624 10.5895 2.4578
Cu Pd Au
12 7 2
Cartesian
3.2771 0.8157 8.0787 Cu
3.5249 -3.0970 5.8911 Cu
0.9984 0.2338 4.2544 Cu
-1.6583 6.8537 4.5748 Cu
0.7109 4.1148 6.3613 Cu
-1.1790 3.2059 2.9104 Cu
-1.1831 5.8425 2.0381 Cu
0.8552 6.8157 5.7552 Cu
1.3676 2.8882 3.9577 Cu
3.3339 3.4572 7.3015 Cu
6.0382 -3.2295 7.0094 Cu
1.5945 -0.9033 1.8179 Cu
0.3466 5.1822 3.9170 Pd
-2.0384 8.2179 2.3011 Pd
2.4280 5.8339 7.4889 Pd
0.6501 1.4947 1.9611 Pd
1.6919 1.7060 6.2663 Pd
4.1843 -1.5987 7.8685 Pd
1.9242 -2.1549 4.0892 Pd
-1.0554 -0.4573 0.6984 Au
3.6555 -0.2252 5.3763 Au
```

Values from the calculation:
**Electronic total energy**: -4.396 eV/atom
**Spin magnetization**: 0.0 μB/f.u.

***

2.
Compound: SrPr2Cu2Si2
Source: Alexandria via LeMat-Bulk
Functional: PBE
Structure: relaxed

Structure (POSCAR):
```
SrPr2Cu2Si2
1.0
-2.0871 -0.4074 3.7952
-2.8443 -3.2399 0.5814
5.8566 -7.1751 4.9437
Sr Pr Cu Si
1 2 2 2
Cartesian
0.0000 0.0000 0.0000 Sr
3.0138 -4.9164 3.6229 Pr
-2.0886 -5.9061 5.6974 Pr
-1.6783 -3.7102 3.6654 Cu
2.6035 -7.1123 5.6549 Cu
0.8955 -8.2771 7.0839 Si
0.0297 -2.5454 2.2364 Si
```

Values from the calculation:
**Electronic total energy**: -4.712 eV/atom
**Uncorrected formation energy**: -386 meV per atom
**Spin magnetization**: 0.0 μB/f.u.

***

3.
Compound: Cs3ScTe3
Source: Alexandria via LeMat-Bulk
Functional: PBE
Structure: relaxed

Structure (POSCAR):
```
Cs3ScTe3
1.0
-4.9868 6.2538 4.8724
-2.0764 -8.8694 2.1775
7.7444 0.5994 5.0002
Cs Sc Te
6 2 6
Cartesian
-1.5518 -1.3871 6.1079 Cs
1.2818 -5.8990 5.1535 Cs
-0.6006 3.8827 6.8966 Cs
-2.8074 -5.0707 2.8544 Cs
-4.2558 2.4551 4.1955 Cs
2.2330 -0.6291 5.9421 Cs
0.7274 -1.6694 10.1539 Sc
-0.0462 -0.3468 1.8962 Sc
-5.0087 -2.2429 7.1772 Te
0.2186 0.7697 8.9775 Te
1.0568 -3.5855 8.2014 Te
0.4626 -2.7859 3.0726 Te
-0.3756 1.5693 3.8487 Te
5.6898 0.2267 4.8729 Te
```

Values from the calculation:
**Electronic total energy**: -3.810 eV/atom
**Uncorrected formation energy**: -1193 meV per atom
**Excess energy over the best structure of this formula in the dataset**: 0.000 eV/atom
**Spin magnetization**: 0.0 μB/f.u.

***

- What is the spin magnetization in the third record?
  0.0 μB/f.u.